# 1
{
  "formula": "NaNiBr",
  "functional": "GGA-PBE",
  "state": "optimized geometry",
  "cell": [[5.045, 0.000, 0.000], [0.000, 8.474, 0.000], [2.523, 4.237, 3.331]],
  "species": ["Na", "Na", "Br", "Br", "Ni", "Ni"],
  "frac_coords": [[0.500, 0.000, 0.000], [0.500, 0.500, 0.000], [0.967, 0.717, 0.067], [0.033, 0.283, 0.933], [0.500, 0.000, 0.500], [0.000, 0.000, 0.500]],
  "n_ef_per_ev_atom": 0.0753,
  "formation_energy_uncorrected_ev_per_atom": -0.331
}

# 2
{
  "formula": "NaNiBr",
  "functional": "GGA-PBE",
  "state": "optimized geometry",
  "cell": [[-1.274, -2.282, 3.620], [0.188, -9.742, -1.271], [3.615, 0.787, -0.112]],
  "species": ["Na", "Na", "Br", "Br", "Ni", "Ni"],
  "frac_coords": [[0.840, 0.423, 0.349], [0.907, 0.840, 0.591], [0.653, 0.675, 0.882], [0.118, 0.073, 0.313], [0.347, 0.182, 0.983], [0.712, 0.185, 0.666]],
  "n_ef_per_ev_atom": 0.1545,
  "formation_energy_uncorrected_ev_per_atom": -0.345
}

# 3
{
  "formula": "NaNiBr",
  "functional": "GGA-PBE",
  "state": "optimized geometry",
  "cell": [[3.496, -0.001, -0.001], [1.755, 8.554, 0.012], [0.003, 1.366, 4.653]],
  "species": ["Ni", "Ni", "Na", "Na", "Br", "Br"],
  "frac_coords": [[0.434, 0.081, 0.527], [0.834, 0.282, 0.427], [0.693, 0.564, 0.785], [0.929, 0.093, 0.021], [0.232, 0.486, 0.324], [0.039, 0.872, 0.631]],
  "n_ef_per_ev_atom": 0.0000,
  "formation_energy_uncorrected_ev_per_atom": -0.329
}

# 4
{
  "formula": "NaNiBr",
  "functional": "GGA-PBE",
  "state": "optimized geometry",
  "cell": [[1.089, 3.938, 0.260], [-2.464, -1.247, -3.023], [-3.384, 0.775, 2.439]],
  "species": ["Br", "Ni", "Na"],
  "frac_coords": [[0.000, 0.000, 0.000], [0.333, 0.667, 0.000], [0.667, 0.333, 0.500]],
  "n_ef_per_ev_atom": 0.1437,
  "formation_energy_uncorrected_ev_per_atom": -0.185
}

# 5
{
  "formula": "NaNi2Br",
  "functional": "GGA-PBE",
  "state": "optimized geometry",
  "cell": [[0.755, -3.183, -3.066], [-1.809, -4.071, 0.503], [-3.313, -1.332, -2.712]],
  "species": ["Ni", "Ni", "Na", "Br"],
  "frac_coords": [[0.250, 0.250, 0.250], [0.750, 0.750, 0.750], [0.000, 0.000, 0.000], [0.500, 0.500, 0.500]],
  "n_ef_per_ev_atom": 2.0666,
  "formation_energy_uncorrected_ev_per_atom": 0.657
}

# 6
{
  "formula": "NaNiBr",
  "functional": "GGA-PBE",
  "state": "optimized geometry",
  "cell": [[10.523, 0.000, -0.017], [0.000, 3.402, 0.000], [-0.554, 0.000, 3.398]],
  "species": ["Na", "Na", "Ni", "Ni", "Br", "Br"],
  "frac_coords": [[0.109, 0.500, 0.010], [0.753, 0.500, 0.835], [0.473, 0.500, 0.698], [0.541, 0.000, 0.229], [0.926, 0.000, 0.420], [0.284, 0.000, 0.598]],
  "n_ef_per_ev_atom": 1.1246,
  "formation_energy_uncorrected_ev_per_atom": -0.362
}

# 7
{
  "formula": "NaNiBr2",
  "functional": "GGA-PBE",
  "state": "optimized geometry",
  "cell": [[6.160, 0.000, 0.000], [0.000, 6.160, 0.000], [3.080, 3.080, 5.919]],
  "species": ["Na", "Na", "Ni", "Ni", "Br", "Br", "Br", "Br"],
  "frac_coords": [[0.500, 0.500, 0.000], [0.250, 0.750, 0.500], [0.750, 0.250, 0.500], [0.000, 0.000, 0.000], [0.875, 0.935, 0.750], [0.065, 0.625, 0.250], [0.375, 0.315, 0.750], [0.685, 0.125, 0.250]],
  "n_ef_per_ev_atom": 0.7514,
  "formation_energy_uncorrected_ev_per_atom": -0.646
}

# 8
{
  "formula": "NaNiBr",
  "functional": "GGA-PBE",
  "state": "optimized geometry",
  "cell": [[9.301, 0.000, -0.002], [3.572, 1.753, -4.152], [-3.572, 1.753, 4.152]],
  "species": ["Ni", "Ni", "Br", "Br", "Na", "Na"],
  "frac_coords": [[0.899, 0.844, 0.156], [0.101, 0.156, 0.844], [0.308, 0.466, 0.534], [0.692, 0.534, 0.466], [0.252, 0.778, 0.222], [0.748, 0.222, 0.778]],
  "n_ef_per_ev_atom": 0.0000,
  "formation_energy_uncorrected_ev_per_atom": -0.333
}